Dy5Ho2Ru4 (GGA-PBE, optimized geometry); space group = C2/m; V = 276 Å³/cell; DFT formation energy = 1.844 eV/f.u.
1.0
12.725 -1.663 0.000
12.725 1.663 0.000
-0.833 0.000 6.519
Dy Ho Ru
5 2 4
Cartesian
0.000 0.000 0.000
7.254 0.000 3.668
9.030 0.000 0.609
15.587 0.000 5.910
17.363 0.000 2.851
10.405 0.000 4.036
14.213 0.000 2.483
5.158 0.000 5.441
11.636 0.000 1.850
12.982 0.000 4.669
19.460 0.000 1.078

---

Dy4HoRu2 (GGA-PBE, optimized geometry); space group = P2_1/m; V = 358 Å³/cell; DFT formation energy = -1.750 eV/f.u.
1.0
7.773 0.000 0.000
0.000 6.329 0.000
-3.023 0.000 7.271
Dy Ho Ru
8 2 4
Cartesian
-0.494 1.582 3.485
0.600 4.747 1.846
-0.760 3.173 6.647
-0.760 6.321 6.647
5.510 0.009 0.623
5.510 3.156 0.623
4.149 1.582 5.425
5.244 4.747 3.786
2.664 1.582 2.442
2.086 4.747 4.829
0.301 1.582 0.909
1.433 1.582 5.500
3.316 4.747 1.771
4.449 4.747 6.362

---

DyHoRu (GGA-PBE, optimized geometry); space group = Pnma; V = 298 Å³/cell; excess energy over the best structure of this formula in the dataset = 0.0001 eV/atom; DFT formation energy = -1.056 eV/f.u.
1.0
6.777 0.000 0.000
0.000 3.399 0.000
0.000 0.000 12.960
Dy Ho Ru
4 4 4
Cartesian
0.849 0.850 1.591
2.539 2.549 8.070
4.238 0.850 4.889
5.927 2.549 11.369
0.846 0.850 4.879
2.542 2.549 11.359
4.235 0.850 1.601
5.931 2.549 8.081
0.846 0.850 9.722
2.542 2.549 3.242
4.235 0.850 9.718
5.931 2.549 3.238

---

Dy2Ho2Ru (GGA-PBE, optimized geometry); space group = C2/m; V = 284 Å³/cell; DFT formation energy = -0.868 eV/f.u.
1.0
3.659 -5.912 0.000
3.659 5.912 0.000
-3.158 0.000 6.573
Dy Ho Ru
4 4 2
Cartesian
0.407 0.000 2.630
-0.974 0.000 5.942
5.133 0.000 0.631
3.752 0.000 3.942
2.512 2.642 1.623
1.647 2.642 4.950
2.512 -2.642 1.623
1.647 -2.642 4.950
3.659 4.406 0.000
3.659 -4.406 0.000

---

Dy3Ho2Ru3 (GGA-PBE, optimized geometry); space group = Immm; V = 181 Å³/cell; DFT formation energy = -2.373 eV/f.u.
1.0
-1.729 2.547 10.291
1.729 -2.547 10.291
1.729 2.547 -10.291
Dy Ho Ru
3 2 3
Cartesian
0.000 0.000 0.000
1.729 0.000 8.012
0.000 2.547 2.279
0.000 0.000 4.505
0.000 0.000 16.076
1.729 0.000 2.373
0.000 0.000 10.291
0.000 2.547 7.917

---

Dy5Ho2Ru5 (GGA-PBE, optimized geometry); space group = C2/m; V = 266 Å³/cell; DFT formation energy = -2.745 eV/f.u.
1.0
4.183 -2.413 0.000
4.183 2.413 0.000
-2.770 0.000 13.160
Dy Ho Ru
5 2 5
Cartesian
0.000 0.000 0.000
0.011 0.000 7.522
0.015 0.000 11.230
5.581 0.000 1.929
5.585 0.000 5.638
2.796 0.000 3.738
2.800 0.000 9.421
0.007 0.000 4.546
2.790 0.000 0.855
2.798 0.000 6.580
2.806 0.000 12.305
5.589 0.000 8.614